1.
CaNd5Ag6: optimized geometry, GGA-PBE.

Output
The calculation puts the theoretical density at 7.40 g cm⁻³. The crystal system is orthorhombic. Its formation enthalpy at 0 K is -0.2701 eV per atom. For the total moment, the calculation gives 0.00 μB per formula unit. Its space group is No. 65.

POSCAR file:
```
CaNd5Ag6
1.0
2.656 -7.971 0.000
2.656 7.971 0.000
0.000 0.000 7.466
Ca Nd Ag
1 5 6
Direct
0.000 0.000 0.000
0.000 0.000 0.500
0.333 0.667 0.500
0.335 0.665 0.000
0.665 0.335 0.000
0.667 0.333 0.500
0.168 0.832 0.250
0.168 0.832 0.750
0.500 0.500 0.254
0.500 0.500 0.746
0.832 0.168 0.250
0.832 0.168 0.750
```

---

2.
La2YIr: optimized geometry, GGA-PBE.

Output
The calculation puts the theoretical density at 9.13 g cm⁻³. The crystal system is cubic. Its formation enthalpy at 0 K is -0.0875 eV per atom. For the total moment, the calculation gives 0.00 μB per formula unit. The value obtained for the energy above the most stable polymorph in this dataset is 407.9 meV/atom. Its space group is No. 216.

POSCAR file:
```
La2YIr
1.0
0.000 3.704 3.704
3.704 0.000 3.704
3.704 3.704 0.000
La Y Ir
2 1 1
Direct
0.000 0.000 0.000
0.250 0.250 0.250
0.500 0.500 0.500
0.750 0.750 0.750
```

---

3.
ZrRe2Ru: optimized geometry, GGA-PBE.

Output
The calculation puts the theoretical density at 14.47 g cm⁻³. The crystal system is orthorhombic. Its formation enthalpy at 0 K is -0.0287 eV per atom. For the total moment, the calculation gives 0.00 μB per formula unit. The value obtained for the energy above the most stable polymorph in this dataset is 0.0 meV/atom. Its space group is No. 47.

POSCAR file:
```
ZrRe2Ru
1.0
3.156 0.000 0.000
0.000 4.397 0.000
0.000 0.000 4.668
Zr Re Ru
1 2 1
Direct
0.000 0.000 0.000
0.000 0.500 0.500
0.500 0.000 0.500
0.500 0.500 0.000
```

---

4.
Sr2Ge3AsPd4: optimized geometry, GGA-PBE.

Output
The calculation puts the theoretical density at 7.28 g cm⁻³. The crystal system is tetragonal. Its formation enthalpy at 0 K is -0.7148 eV per atom. For the total moment, the calculation gives 0.00 μB per formula unit. Its space group is No. 115.

POSCAR file:
```
Sr2Ge3AsPd4
1.0
4.467 0.000 0.000
0.000 4.467 0.000
0.000 0.000 10.221
Sr Ge As Pd
2 3 1 4
Direct
0.000 0.500 0.246
0.500 0.000 0.754
0.000 0.000 0.000
0.000 0.500 0.621
0.500 0.000 0.379
0.500 0.500 0.000
0.000 0.000 0.500
0.000 0.500 0.871
0.500 0.000 0.129
0.500 0.500 0.500
```

---

5.
CaTb6Th: optimized geometry, GGA-PBE.

Output
The calculation puts the theoretical density at 7.61 g cm⁻³. The crystal system is triclinic. Its formation enthalpy at 0 K is 0.2592 eV per atom. For the total moment, the calculation gives 0.00 μB per formula unit. Its space group is No. 2.

POSCAR file:
```
CaTb6Th
1.0
6.731 0.000 0.000
-0.184 6.763 0.000
-1.310 -3.160 5.876
Ca Tb Th
1 6 1
Direct
0.000 0.000 0.000
0.243 0.575 0.485
0.256 0.544 0.994
0.283 0.094 0.526
0.717 0.906 0.474
0.744 0.456 0.006
0.757 0.425 0.515
0.500 0.000 0.000
```

---

6.
CrCoGePdS: optimized geometry, GGA-PBE.

Output
The calculation puts the theoretical density at 7.52 g cm⁻³. The crystal system is monoclinic. For the total moment, the calculation gives 1.08 μB per formula unit. The value obtained for the energy above the most stable polymorph in this dataset is 108.9 meV/atom. Its space group is No. 8.

POSCAR file:
```
CrCoGePdS
1.0
3.956 -1.486 0.000
3.956 1.486 0.000
-1.157 0.000 6.052
Cr Co Ge Pd S
1 1 1 1 1
Direct
0.000 0.000 0.000
0.729 0.729 0.228
0.689 0.689 0.815
0.370 0.370 0.608
0.451 0.451 0.249
```

---

7.
Dy2ZnPd4: optimized geometry, GGA-PBE.

Output
The calculation puts the theoretical density at 8.86 g cm⁻³. The crystal system is tetragonal. Its formation enthalpy at 0 K is -0.3594 eV per atom. For the total moment, the calculation gives 0.00 μB per formula unit. Its space group is No. 139.

POSCAR file:
```
Dy2ZnPd4
1.0
-2.322 2.322 7.086
2.322 -2.322 7.086
2.322 2.322 -7.086
Dy Zn Pd
2 1 4
Direct
0.137 0.137 0.000
0.863 0.863 0.000
0.500 0.500 0.000
0.000 0.500 0.500
0.326 0.326 0.000
0.500 0.000 0.500
0.674 0.674 0.000
```

---

8.
ZrBeBi2I: optimized geometry, GGA-PBE.

Output
The calculation puts the theoretical density at 7.92 g cm⁻³. The crystal system is tetragonal. For the total moment, the calculation gives 0.82 μB per formula unit. Its space group is No. 123.

POSCAR file:
```
ZrBeBi2I
1.0
5.002 0.000 0.000
0.000 5.002 0.000
0.000 0.000 5.409
Zr Be Bi I
1 1 2 1
Direct
0.000 0.000 0.000
0.500 0.500 0.500
0.000 0.500 0.500
0.500 0.000 0.500
0.500 0.500 0.000
```

---

9.
CsTl2: optimized geometry, GGA-PBE.

Output
The calculation puts the theoretical density at 6.73 g cm⁻³. The crystal system is triclinic. Its formation enthalpy at 0 K is -0.1128 eV per atom. For the total moment, the calculation gives 0.00 μB per formula unit. The value obtained for the energy above the most stable polymorph in this dataset is 0.0 meV/atom. Its space group is No. 2.

POSCAR file:
```
CsTl2
1.0
5.362 0.000 0.000
-0.003 5.366 0.000
-0.024 -0.001 9.294
Cs Tl
2 4
Direct
0.249 0.250 0.168
0.751 0.750 0.832
0.250 0.251 0.696
0.250 0.750 0.500
0.750 0.250 0.500
0.750 0.749 0.304
```

---

10.
KScRu2O8: optimized geometry, GGA-PBE.

Output
The calculation puts the theoretical density at 3.20 g cm⁻³. The crystal system is trigonal. For the total moment, the calculation gives 4.04 μB per formula unit. Its space group is No. 147.

POSCAR file:
```
KScRu2O8
1.0
5.709 0.000 0.000
-2.855 4.944 0.000
0.000 0.000 7.623
K Sc Ru O
1 1 2 8
Direct
0.000 0.000 0.000
0.000 0.000 0.500
0.333 0.667 0.745
0.667 0.333 0.255
0.104 0.328 0.670
0.224 0.896 0.670
0.328 0.224 0.330
0.333 0.667 0.975
0.667 0.333 0.025
0.672 0.776 0.670
0.776 0.104 0.330
0.896 0.672 0.330
```

---

11.
NiOs2Br: optimized geometry, GGA-PBE.

Output
The calculation puts the theoretical density at 14.33 g cm⁻³. The crystal system is trigonal. For the total moment, the calculation gives 0.00 μB per formula unit. The value obtained for the energy above the most stable polymorph in this dataset is 31.4 meV/atom. Its space group is No. 160.

POSCAR file:
```
NiOs2Br
1.0
1.421 0.820 8.601
-1.421 0.820 8.601
0.000 -1.641 8.601
Ni Os Br
1 2 1
Direct
0.000 0.000 0.000
0.492 0.492 0.492
0.746 0.746 0.746
0.256 0.256 0.256
```

---

12.
PmAlInCu: optimized geometry, GGA-PBE.

Output
The calculation puts the theoretical density at 6.98 g cm⁻³. The crystal system is cubic. Its formation enthalpy at 0 K is -0.2059 eV per atom. For the total moment, the calculation gives 0.00 μB per formula unit. Its space group is No. 216.

POSCAR file:
```
PmAlInCu
1.0
0.000 3.467 3.467
3.467 0.000 3.467
3.467 3.467 0.000
Pm Al In Cu
1 1 1 1
Direct
0.000 0.000 0.000
0.250 0.250 0.250
0.500 0.500 0.500
0.750 0.750 0.750
```

---

Q: Which VASP energy values were calculated for the entries above? A: -3.85, -6.38, -10.71, -4.98, -4.39, -6.32, -4.82, -3.70, -1.97, -6.92, -6.82, -4.04, in eV/atom.